1.
The following is a PBE-GGA calculation of crystalline SmLuSc2 at its relaxed geometry, from Alexandria.

The structure in POSCAR format:
```
SmLuSc2
1.0
4.6980 0.0000 0.0000
0.0000 4.8689 0.0000
0.0000 0.0000 4.8689
Lu Sm Sc
1 1 2
Direct
0.5000 0.5000 0.5000 Lu
0.5000 0.0000 0.0000 Sm
0.0000 0.5000 0.0000 Sc
0.0000 0.0000 0.5000 Sc
```

Calculated values
SG   P4/mmm (123)
E above lowest polymorph   0.00 kJ per mole of atoms

---

2.
The following is a PBE-GGA calculation of crystalline SmLuSc2 at its relaxed geometry, from Alexandria.

The structure in POSCAR format:
```
SmLuSc2
1.0
3.3131 0.0000 0.0000
1.6565 2.8692 0.0000
1.6565 0.9564 11.8581
Lu Sc Sm
1 2 1
Direct
0.5000 0.5000 0.5000 Lu
0.0910 0.0910 0.7270 Sc
0.9090 0.9090 0.2730 Sc
0.0000 0.0000 0.0000 Sm
```

Calculated values
SG   R-3m (166)
E above lowest polymorph   15.43 kJ per mole of atoms

---

3.
The following is a PBE-GGA calculation of crystalline SmLuScSn at its relaxed geometry, from Alexandria.

The structure in POSCAR format:
```
SmLuScSn
1.0
5.2808 0.0000 0.0000
2.6404 4.5733 0.0000
2.6404 1.5244 4.3117
Sm Lu Sn Sc
1 1 1 1
Direct
0.0000 0.0000 0.0000 Sm
0.7500 0.7500 0.7500 Lu
0.2500 0.2500 0.2500 Sn
0.5000 0.5000 0.5000 Sc
```

Calculated values
VASP energy   -20.508 eV for the cell shown
SG   F-43m (216)

---

4.
The following is a PBE-GGA calculation of crystalline SmLuScTl at its relaxed geometry, from Alexandria.

The structure in POSCAR format:
```
SmLuScTl
1.0
5.3447 0.0000 0.0000
2.6723 4.6286 0.0000
2.6723 1.5429 4.3639
Tl Sc Sm Lu
1 1 1 1
Direct
0.2500 0.2500 0.2500 Tl
0.0000 0.0000 0.0000 Sc
0.5000 0.5000 0.5000 Sm
0.7500 0.7500 0.7500 Lu
```

Calculated values
VASP energy   -18.068 eV for the cell shown
SG   F-43m (216)

---

5.
The following is a PBE-GGA calculation of crystalline SmYLuSc at its relaxed geometry, from Alexandria.

The structure in POSCAR format:
```
SmYLuSc
1.0
-0.8825 -0.7221 5.4196
0.9340 -4.9397 2.3237
4.2889 -0.6765 3.4380
Sm Y Sc Lu
1 1 1 1
Direct
0.2500 0.2500 0.2500 Sm
0.7500 0.7500 0.7500 Y
0.0000 0.0000 0.0000 Sc
0.5000 0.5000 0.5000 Lu
```

Calculated values
VASP energy   -21.641 eV for the cell shown
SG   F-43m (216)

---

6.
The following is a PBE-GGA calculation of crystalline SmLuScZn at its relaxed geometry, from Alexandria.

The structure in POSCAR format:
```
SmLuScZn
1.0
5.2133 0.0000 0.0000
2.6066 4.5148 0.0000
2.6066 1.5049 4.2566
Sc Lu Zn Sm
1 1 1 1
Direct
0.5000 0.5000 0.5000 Sc
0.2500 0.2500 0.2500 Lu
0.0000 0.0000 0.0000 Zn
0.7500 0.7500 0.7500 Sm
```

Calculated values
VASP energy   -16.836 eV for the cell shown
SG   F-43m (216)

---

7.
The following is a PBE-GGA calculation of crystalline Lu2ScSn at its relaxed geometry, from Alexandria.

The structure in POSCAR format:
```
Lu2ScSn
1.0
-2.5785 -2.1393 0.2622
0.2413 -3.0899 -1.2994
3.3773 -5.5491 9.4763
Sn Sc Lu
1 1 2
Direct
0.5000 0.5000 0.5000 Sn
0.0000 0.0000 0.0000 Sc
0.9077 0.9077 0.2768 Lu
0.0923 0.0923 0.7232 Lu
```

Calculated values
SG   R-3m (166)
E above lowest polymorph   43.33 kJ per mole of atoms

---

8.
The following is a PBE-GGA calculation of crystalline Lu2ScSn at its relaxed geometry, from Alexandria.

The structure in POSCAR format:
```
Lu2ScSn
1.0
-0.2119 -0.9410 3.8924
-1.5543 -3.5730 -0.9484
5.9300 -2.5046 -0.2827
Lu Sc Sn
2 1 1
Direct
0.0000 0.0000 0.7547 Lu
0.0000 0.0000 0.2453 Lu
0.5000 0.5000 0.5000 Sc
0.5000 0.5000 0.0000 Sn
```

Calculated values
SG   P4/mmm (123)
E above lowest polymorph   6.14 kJ per mole of atoms

---

Number 1: total magnetic moment 0.0 μB per cell. Number 2: total magnetic moment 0.0 μB per cell. Number 3: total magnetic moment 0.0 μB per cell. Number 4: total magnetic moment 0.9 μB per cell. Number 5: total magnetic moment 0.0 μB per cell. Number 6: total magnetic moment 0.0 μB per cell. Number 7: total magnetic moment 0.8 μB per cell. Number 8: total magnetic moment 0.0 μB per cell.